Ce3MgRu3, relaxed, DFT PBE; space-group type = No. 148; formation enthalpy at 0 K = -265.4 meV/atom
1.0
-4.434 -2.080 7.181
-8.305 -2.497 -0.591
-2.790 -6.257 1.725
Ce Mg Ru
6 2 6
Direct
0.180 0.633 0.327
0.859 0.180 0.327
0.633 0.859 0.327
0.367 0.141 0.673
0.141 0.820 0.673
0.820 0.367 0.673
0.328 0.328 0.017
0.672 0.672 0.983
0.452 0.698 0.797
0.698 0.053 0.797
0.053 0.452 0.797
0.947 0.548 0.203
0.302 0.947 0.203
0.548 0.302 0.203

HgAs3Au, relaxed, DFT PBE; space-group type = No. 221; formation enthalpy at 0 K = 826.1 meV/atom; polymorph energy (0 for the lowest one) = 0 meV/atom
1.0
5.094 0.000 0.000
0.000 5.094 0.000
0.000 0.000 5.094
As Au Hg
3 1 1
Direct
0.000 0.500 0.000
0.000 0.000 0.500
0.500 0.000 0.000
0.000 0.000 0.000
0.500 0.500 0.500

La8SiPt3Br4, relaxed, DFT PBE; space-group type = No. 166; uncorrected formation energy = -1940 kJ/mol of formula units
1.0
-0.298 4.799 -7.170
-5.568 -6.128 -3.870
-2.330 3.419 7.582
La Si Pt Br
8 1 3 4
Direct
0.239 0.709 0.971
0.239 0.709 0.477
0.266 0.298 0.531
0.732 0.709 0.971
0.268 0.291 0.029
0.734 0.702 0.469
0.761 0.291 0.523
0.761 0.291 0.029
0.000 0.500 0.000
0.500 0.500 0.000
0.500 0.500 0.500
0.000 0.500 0.500
0.500 0.000 0.000
0.500 0.000 0.500
0.000 0.000 0.000
0.000 0.000 0.500

NiPtBr2, relaxed, DFT PBE; space-group type = No. 35; polymorph energy (0 for the lowest one) = 242 meV/atom; uncorrected formation energy = 71 kJ/mol of formula units
1.0
4.043 0.002 0.000
-2.212 3.384 0.000
0.000 0.000 7.950
Br Ni Pt
2 1 1
Direct
0.000 0.000 0.909
0.500 0.500 0.360
0.000 0.000 0.527
0.500 0.500 0.704

MgSb2I8, relaxed, DFT PBE; space-group type = No. 12; polymorph energy (0 for the lowest one) = 10 meV/atom; uncorrected formation energy = -455 kJ/mol of formula units
1.0
-7.740 -1.296 -0.972
0.472 -4.286 -7.568
-0.678 -6.973 5.175
Mg Sb I
1 2 8
Direct
0.000 0.000 0.000
0.424 0.162 0.162
0.576 0.838 0.838
0.783 0.080 0.755
0.217 0.245 0.920
0.779 0.235 0.235
0.221 0.765 0.765
0.783 0.755 0.080
0.217 0.920 0.245
0.263 0.397 0.397
0.737 0.603 0.603

ScMoIr, relaxed, DFT PBE; space-group type = No. 44; formation enthalpy at 0 K = -253.0 meV/atom; polymorph energy (0 for the lowest one) = 25 meV/atom
1.0
-2.045 4.876 -0.853
-4.649 1.388 -2.269
2.513 -2.964 3.685
Ir Mo Sc
1 1 1
Direct
0.994 0.994 0.000
0.343 0.343 0.000
0.663 0.663 0.000

TaSbRh2, relaxed, DFT PBE; space-group type = No. 65; uncorrected formation energy = -85 kJ/mol of formula units
1.0
-2.266 -1.484 -3.961
0.506 -3.892 2.762
-2.678 0.584 1.314
Ta Sb Rh
1 1 2
Direct
0.500 0.500 0.500
0.000 0.000 0.500
0.500 0.000 0.000
0.000 0.500 0.000

Cd2CuPt2, relaxed, DFT PBE; space-group type = No. 127; formation enthalpy at 0 K = 41.0 meV/atom; polymorph energy (0 for the lowest one) = 243 meV/atom
1.0
7.912 0.000 0.000
0.000 7.912 0.000
0.000 0.000 2.962
Cu Pt Cd
2 4 4
Direct
0.000 0.000 0.000
0.500 0.500 0.000
0.132 0.632 0.500
0.632 0.868 0.500
0.868 0.368 0.500
0.368 0.132 0.500
0.335 0.835 0.000
0.835 0.665 0.000
0.665 0.165 0.000
0.165 0.335 0.000

Rb4PBr, relaxed, DFT PBE; space-group type = No. 15; uncorrected formation energy = -348 kJ/mol of formula units
1.0
-2.369 -6.081 -5.477
8.898 0.916 -1.977
-1.542 -2.817 8.977
Rb P Br
8 2 2
Direct
0.000 0.231 0.897
0.796 0.729 0.672
0.397 0.666 0.897
0.375 0.943 0.672
0.625 0.057 0.328
0.603 0.334 0.103
0.204 0.271 0.328
0.000 0.769 0.103
0.239 0.989 0.979
0.761 0.011 0.021
0.389 0.639 0.277
0.611 0.361 0.723

LiMg6Tl5, relaxed, DFT PBE; space-group type = No. 12; formation enthalpy at 0 K = -54.6 meV/atom
1.0
4.672 0.017 -1.364
-1.092 7.014 -3.654
0.026 0.040 8.793
Mg Tl Li
6 5 1
Direct
0.832 0.578 0.664
0.832 0.086 0.665
0.500 0.732 0.000
0.500 0.268 0.000
0.168 0.914 0.335
0.168 0.422 0.336
0.649 0.147 0.294
0.327 0.326 0.651
0.000 0.500 0.000
0.673 0.674 0.349
0.351 0.853 0.706
0.000 0.000 0.000

Tb2CoGe6, relaxed, DFT PBE; space-group type = No. 38; formation enthalpy at 0 K = -486.6 meV/atom
1.0
0.415 8.117 7.372
-3.959 -8.556 -5.614
1.667 -2.557 2.722
Tb Co Ge
2 1 6
Direct
0.223 0.777 0.500
0.886 0.114 0.500
0.445 0.555 0.000
0.500 0.500 0.500
0.616 0.384 0.500
0.001 0.999 0.000
0.119 0.881 0.000
0.339 0.661 0.000
0.764 0.236 0.000

Ti3Be8Cu, relaxed, DFT PBE; space-group type = No. 160; formation enthalpy at 0 K = -161.2 meV/atom
1.0
4.282 0.000 1.270
1.953 3.811 1.270
0.023 0.014 7.776
Ti Be Cu
3 8 1
Direct
0.625 0.625 0.125
0.002 0.002 0.995
0.499 0.499 0.504
0.562 0.065 0.812
0.059 0.566 0.316
0.562 0.562 0.812
0.059 0.059 0.316
0.813 0.813 0.562
0.313 0.313 0.060
0.065 0.562 0.812
0.566 0.059 0.316
0.126 0.126 0.623